AlCr2 | PBE | optimized geometry

It has space group Cmcm (No. 63), with a = 2.977 Å, b = 12.038 Å, c = 4.240 Å, α = 90.00°, β = 90.00° and γ = 90.00°. Symmetry generates all atoms from Al at (0.000, 0.087, 0.250), Cr at (0.000, 0.232, 0.750) and Cr at (0.000, 0.410, 0.250).

As for the crystal system: orthorhombic. The value obtained for the calculated formation energy is -6.0 kJ per mole of atoms.

***

BeTl2Os | PBE | optimized geometry

It has space group P2/m (No. 10), with a = 3.083 Å, b = 4.693 Å, c = 5.254 Å, α = 90.00°, β = 92.68° and γ = 90.00°. Symmetry generates all atoms from Be at (0.000, 0.000, 0.000), Tl at (0.224, 0.500, 0.247) and Os at (0.500, 0.000, 0.500).

As for the crystal system: monoclinic. The value obtained for the calculated formation energy is 104.8 kJ per mole of atoms.

***

HfTi3Sb | PBE | optimized geometry

It has space group R3m (No. 160, hexagonal axes), with a = 5.4500 Å, b = 5.4500 Å, c = 11.7922 Å, α = 90.00°, β = 90.00° and γ = 120.00°. Symmetry generates all atoms from Hf at (0.0000, 0.0000, 0.0000), Ti at (0.0031, 0.5015, 0.8786) and Sb at (0.0000, 0.0000, 0.7541).

As for the crystal system: trigonal. The calculation puts the formation energy from raw total energies at 0.148 eV/atom.

***

AlCuAs | PBE | optimized geometry

It has space group I4mm (No. 107), with a = 2.891 Å, b = 2.891 Å, c = 11.334 Å, α = 90.00°, β = 90.00° and γ = 90.00°. Symmetry generates all atoms from Al at (0.000, 0.000, 0.000), Cu at (0.000, 0.000, 0.643) and As at (0.000, 0.000, 0.305).

As for the crystal system: tetragonal. The value obtained for the calculated formation energy is 10.5 kJ per mole of atoms.

***

NaHfZn2 | PBE | optimized geometry

It has space group I-42d (No. 122), with a = 7.359 Å, b = 7.359 Å, c = 6.306 Å, α = 90.00°, β = 90.00° and γ = 90.00°. Symmetry generates all atoms from Na at (0.000, 0.000, 0.000), Hf at (0.000, 0.000, 0.500) and Zn at (0.248, 0.250, 0.625).

As for the crystal system: tetragonal. The value obtained for the calculated formation energy is 48.3 kJ per mole of atoms.

***

LiTbBeAl | PBE | optimized geometry

It has space group F-43m (No. 216), with a = 6.425 Å, b = 6.425 Å, c = 6.425 Å, α = 90.00°, β = 90.00° and γ = 90.00°. Symmetry generates all atoms from Li at (0.000, 0.000, 0.000), Tb at (0.250, 0.250, 0.750), Be at (0.000, 0.000, 0.500) and Al at (0.250, 0.250, 0.250).

As for the crystal system: cubic. The value obtained for the calculated formation energy is -13.7 kJ per mole of atoms.

***

TcOs2 | PBE | optimized geometry

It has space group P-62m (No. 189), with a = 6.5111 Å, b = 6.5111 Å, c = 3.8224 Å, α = 90.00°, β = 90.00° and γ = 120.00°. Symmetry generates all atoms from Tc at (0.0000, 0.0000, 0.0000), Tc at (0.3333, 0.6667, 0.5000), Os at (0.0000, 0.2579, 0.5000) and Os at (0.0000, 0.6095, 0.0000).

As for the crystal system: hexagonal. The value obtained for the calculated formation energy is 66.8 kJ per mole of atoms.

***

Ac3MgIn3 | PBE | optimized geometry

It has space group C2/m (No. 12), with a = 12.303 Å, b = 5.062 Å, c = 16.276 Å, α = 90.00°, β = 110.22° and γ = 90.00°. Symmetry generates all atoms from Ac at (0.029, 0.000, 0.380), Ac at (0.098, 0.000, 0.919), Ac at (0.244, 0.000, 0.222), Mg at (0.243, 0.500, 0.404), In at (0.042, 0.500, 0.235), In at (0.114, 0.500, 0.073) and In at (0.129, 0.500, 0.547).

As for the crystal system: monoclinic. The value obtained for the calculated formation energy is -38.7 kJ per mole of atoms.

***

NbTlRu2 | PBE | optimized geometry

It has space group I-42d (No. 122), with a = 7.200 Å, b = 7.200 Å, c = 5.845 Å, α = 90.00°, β = 90.00° and γ = 90.00°. Symmetry generates all atoms from Nb at (0.000, 0.000, 0.000), Tl at (0.000, 0.000, 0.500) and Ru at (0.211, 0.250, 0.125).

As for the crystal system: tetragonal. The value obtained for the calculated formation energy is 59.2 kJ per mole of atoms.

***

LiYSe2 | PBE | optimized geometry

It has space group P4/mmm (No. 123), with a = 4.093 Å, b = 4.093 Å, c = 5.574 Å, α = 90.00°, β = 90.00° and γ = 90.00°. Symmetry generates all atoms from Li at (0.000, 0.000, 0.000), Y at (0.500, 0.500, 0.500), Se at (0.000, 0.000, 0.500) and Se at (0.500, 0.500, 0.000).

As for the crystal system: tetragonal. The calculation puts the formation energy from raw total energies at -1.621 eV/atom.

***

Zr2AlPb | PBE | optimized geometry

It has space group P4/mmm (No. 123), with a = 3.172 Å, b = 3.172 Å, c = 8.656 Å, α = 90.00°, β = 90.00° and γ = 90.00°. Symmetry generates all atoms from Zr at (0.000, 0.000, 0.223), Al at (0.500, 0.500, 0.000) and Pb at (0.500, 0.500, 0.500).

As for the crystal system: tetragonal. The value obtained for the calculated formation energy is -27.2 kJ per mole of atoms.

***

AlCdGe | PBE | optimized geometry

It has space group P3m1 (No. 156), with a = 3.0324 Å, b = 3.0324 Å, c = 7.4383 Å, α = 90.00°, β = 90.00° and γ = 120.00°. Symmetry generates all atoms from Al at (0.0000, 0.0000, 0.0000), Cd at (0.3333, 0.6667, 0.6630) and Ge at (0.6667, 0.3333, 0.2985).

As for the crystal system: trigonal. The value obtained for the calculated formation energy is 15.5 kJ per mole of atoms.

***

Number 1: M_tot 0.005 μB per atom, ρ 5.725 Mg/m³. Number 2: M_tot 0.154 μB per atom, ρ 13.295 Mg/m³. Number 3: M_tot 0.191 μB per atom, ρ 7.289 Mg/m³. Number 4: M_tot 0.000 μB per atom, ρ 5.800 Mg/m³. Number 5: M_tot 0.000 μB per atom, ρ 6.464 Mg/m³. Number 6: M_tot 0.000 μB per atom, ρ 5.056 Mg/m³. Number 7: M_tot 0.000 μB per atom, ρ 16.984 Mg/m³. Number 8: M_tot 0.009 μB per atom, ρ 7.331 Mg/m³. Number 9: M_tot 0.000 μB per atom, ρ 10.946 Mg/m³. Number 10: M_tot 0.000 μB per atom, ρ 4.512 Mg/m³. Number 11: M_tot 0.000 μB per atom, ρ 7.944 Mg/m³. Number 12: M_tot 0.000 μB per atom, ρ 5.944 Mg/m³.